# 1
First-principles (PBE) data for a relaxed structure of Y2TlZnH, as listed in Alexandria via LeMat-Bulk.

CIF file:
```
data_Y2TlZnH
_chemical_formula_sum 'Y2 Tl1 Zn1 H1'
_cell_length_a 4.9789
_cell_length_b 4.9789
_cell_length_c 4.0627
_cell_angle_alpha 90.00
_cell_angle_beta 90.00
_cell_angle_gamma 90.00
_space_group_name_H-M_alt 'P 4/m m m'
_space_group_IT_number 123
_space_group_name_Hall '-P 4 2'
loop_
_atom_site_label
_atom_site_fract_x
_atom_site_fract_y
_atom_site_fract_z
Y1 0.0000 0.5000 0.0000
Tl1 0.0000 0.0000 0.5000
Zn1 0.5000 0.5000 0.5000
H1 0.5000 0.5000 0.0000
```

Output
volume: 100.71 Å³ per cell
raw total energy: -4.28 eV/atom

=====

# 2
First-principles (PBE) data for a relaxed structure of YZr2TlH, as listed in Alexandria via LeMat-Bulk.

CIF file:
```
data_YZr2TlH
_chemical_formula_sum 'Y1 Zr2 Tl1 H1'
_cell_length_a 4.5542
_cell_length_b 4.5542
_cell_length_c 4.7114
_cell_angle_alpha 90.00
_cell_angle_beta 90.00
_cell_angle_gamma 90.00
_space_group_name_H-M_alt 'P 4/m m m'
_space_group_IT_number 123
_space_group_name_Hall '-P 4 2'
loop_
_atom_site_label
_atom_site_fract_x
_atom_site_fract_y
_atom_site_fract_z
Y1 0.0000 0.0000 0.0000
Zr1 0.0000 0.5000 0.5000
Tl1 0.5000 0.5000 0.0000
H1 0.0000 0.0000 0.5000
```

Output
volume: 97.72 Å³ per cell
raw total energy: -6.10 eV/atom